{"formula": "PmZr2P4", "functional": "GGA-PBE", "state": "optimized geometry", "lattice_angstrom": [[-3.8022, 0.2941, 0.4575], [1.0144, -4.4490, -4.8321], [0.2967, -8.6463, 8.0231]], "species": ["P", "P", "Zr", "Zr", "Pm", "Zr", "P", "P", "P", "Zr", "P", "P", "Pm", "P"], "frac_coords": [[0.5000, 0.0000, 0.5000], [0.7555, 0.5110, 0.3576], [0.1362, 0.2724, 0.0499], [0.1362, 0.2724, 0.4501], [0.5973, 0.1946, 0.7500], [0.8638, 0.7276, 0.5499], [0.5000, 0.0000, 0.0000], [0.9352, 0.8705, 0.7500], [0.2445, 0.4890, 0.8576], [0.8638, 0.7276, 0.9501], [0.7555, 0.5110, 0.1424], [0.2445, 0.4890, 0.6424], [0.4027, 0.8054, 0.2500], [0.0648, 0.1295, 0.2500]], "sg": "Cmcm", "total_energy_ev_per_atom": -7.251, "magmom_total_mub_per_atom": 0.00, "crystal_system": "orthorhombic"}